1.
Entry from the Alexandria database: a geometry-optimized Li2TmPd structure (GGA-PBE).

For the volume, the calculation gives 207.94 Å³ per cell. The value obtained for the energy relative to the elements is -191.6 meV per atom. The calculation puts the total moment at 0.0024 μB per atom.

The space group is R-3m (No. 166, hexagonal axes) and the conventional cell measures 4.5829, 4.5829 and 11.4323 Å, with angles of 90.00, 90.00 and 120.00 degrees. The inequivalent atoms are Li at (0.0000, 0.0000, 0.2479), Tm at (0.0000, 0.0000, 0.0000) and Pd at (0.0000, 0.0000, 0.5000).


2.
Entry from the Alexandria database: a geometry-optimized TiCd2 structure (GGA-PBE).

For the volume, the calculation gives 490.97 Å³ per cell. The value obtained for the energy relative to the elements is 196.2 meV per atom. The calculation puts the total moment at 0.4713 μB per atom.

The space group is Fd-3m (No. 227, origin choice 2) and the conventional cell measures 7.889, 7.889 and 7.889 Å, with angles of 90.00, 90.00 and 90.00 degrees. The inequivalent atoms are Ti at (0.125, 0.125, 0.125) and Cd at (0.000, 0.000, 0.500).